A relaxed structure of VZn2Ni9, computed with PBE-GGA.

Structure (CIF):
```
data_VZn2Ni9
_chemical_formula_sum 'V1 Zn2 Ni9'
_cell_length_a 3.568
_cell_length_b 3.568
_cell_length_c 10.711
_cell_angle_alpha 90.00
_cell_angle_beta 90.00
_cell_angle_gamma 90.00
_symmetry_space_group_name_H-M 'P 4/m m m'
_symmetry_Int_Tables_number 123
_symmetry_space_group_name_Hall '-P 4 2'
loop_
_atom_site_label
_atom_site_type_symbol
_atom_site_fract_x
_atom_site_fract_y
_atom_site_fract_z
V1 V 0.000 0.000 0.000
Zn1 Zn 0.000 0.000 0.333
Ni1 Ni 0.000 0.500 0.162
Ni2 Ni 0.000 0.500 0.500
Ni3 Ni 0.500 0.500 0.000
Ni4 Ni 0.500 0.500 0.332
```

The calculation puts the electronic total energy at -5.49 eV per atom. As for the energy of formation: -180 meV per atom.